1.
SmMgCu after structural relaxation. Source: OQMD, functional PBE.

The structure in POSCAR format:
```
SmMgCu
1.0
0.000 3.308 3.308
3.308 0.000 3.308
3.308 3.308 0.000
Sm Mg Cu
1 1 1
Direct
0.000 0.000 0.000
0.500 0.500 0.500
0.750 0.750 0.750
```

## Properties
Calculated density = 5.5 g cm⁻³
Final energy = -10.07 eV per cell


2.
MgCu5Sn2 after structural relaxation. Source: OQMD, functional PBE.

The structure in POSCAR format:
```
MgCu5Sn2
1.0
4.419 0.000 0.000
0.000 4.419 0.000
0.000 0.000 6.216
Mg Cu Sn
1 5 2
Direct
0.000 0.000 0.000
0.000 0.500 0.252
0.000 0.500 0.748
0.500 0.000 0.252
0.500 0.000 0.748
0.500 0.500 0.500
0.000 0.000 0.500
0.500 0.500 0.000
```

## Properties
Calculated density = 7.9 g cm⁻³
Final energy = -28.00 eV per cell


3.
MgCuSn2 after structural relaxation. Source: OQMD, functional PBE.

The structure in POSCAR format:
```
MgCuSn2
1.0
0.000 3.538 3.538
3.538 0.000 3.538
3.538 3.538 0.000
Mg Cu Sn
1 1 2
Direct
0.000 0.000 0.000
0.250 0.250 0.250
0.500 0.500 0.500
0.750 0.750 0.750
```

## Properties
Calculated density = 6.1 g cm⁻³
Final energy = -12.64 eV per cell


4.
MgCuSn after structural relaxation. Source: OQMD, functional PBE.

The structure in POSCAR format:
```
MgCuSn
1.0
0.000 3.111 3.111
3.111 0.000 3.111
3.111 3.111 0.000
Mg Cu Sn
1 1 1
Direct
0.000 0.000 0.000
0.250 0.250 0.250
0.500 0.500 0.500
```

## Properties
Calculated density = 5.7 g cm⁻³
Final energy = -9.81 eV per cell


5.
MgCu2Sn after structural relaxation. Source: OQMD, functional PBE.

The structure in POSCAR format:
```
MgCu2Sn
1.0
6.431 0.000 0.000
0.000 6.431 0.000
0.000 0.000 6.431
Mg Cu Sn
4 8 4
Direct
0.000 0.000 0.000
0.000 0.000 0.500
0.000 0.500 0.000
0.500 0.000 0.000
0.237 0.237 0.237
0.237 0.237 0.763
0.237 0.763 0.237
0.237 0.763 0.763
0.763 0.237 0.237
0.763 0.237 0.763
0.763 0.763 0.237
0.763 0.763 0.763
0.000 0.500 0.500
0.500 0.000 0.500
0.500 0.500 0.000
0.500 0.500 0.500
```

## Properties
Calculated density = 6.7 g cm⁻³
Final energy = -51.89 eV per cell


6.
MgCuSn after structural relaxation. Source: OQMD, functional PBE.

The structure in POSCAR format:
```
MgCuSn
1.0
7.188 0.000 0.000
-3.594 6.225 0.000
0.000 0.000 3.848
Mg Cu Sn
3 3 3
Direct
0.000 0.604 0.000
0.396 0.396 0.000
0.604 0.000 0.000
0.000 0.000 0.000
0.333 0.667 0.500
0.667 0.333 0.500
0.000 0.270 0.500
0.270 0.000 0.500
0.730 0.730 0.500
```

## Properties
Calculated density = 6.0 g cm⁻³
Final energy = -28.70 eV per cell


7.
MgCu2Sn after structural relaxation. Source: OQMD, functional PBE.

The structure in POSCAR format:
```
MgCu2Sn
1.0
6.413 0.000 0.000
0.000 6.413 0.000
0.000 0.000 6.413
Mg Cu Sn
4 8 4
Direct
0.000 0.000 0.000
0.000 0.000 0.500
0.000 0.500 0.000
0.500 0.000 0.000
0.237 0.237 0.237
0.237 0.237 0.763
0.237 0.763 0.237
0.237 0.763 0.763
0.763 0.237 0.237
0.763 0.237 0.763
0.763 0.763 0.237
0.763 0.763 0.763
0.000 0.500 0.500
0.500 0.000 0.500
0.500 0.500 0.000
0.500 0.500 0.500
```

## Properties
Calculated density = 6.8 g cm⁻³
Final energy = -51.86 eV per cell


8.
MgCuSn after structural relaxation. Source: OQMD, functional PBE.

The structure in POSCAR format:
```
MgCuSn
1.0
6.740 0.000 0.000
-3.370 5.837 0.000
0.000 0.000 4.427
Mg Cu Sn
3 3 3
Direct
0.000 0.547 0.000
0.453 0.453 0.000
0.547 0.000 0.000
0.000 0.230 0.500
0.230 0.000 0.500
0.770 0.770 0.500
0.000 0.000 0.000
0.333 0.667 0.500
0.667 0.333 0.500
```

## Properties
Calculated density = 5.9 g cm⁻³
Final energy = -28.25 eV per cell


9.
MgCu5Sn2 after structural relaxation. Source: OQMD, functional PBE.

The structure in POSCAR format:
```
MgCu5Sn2
1.0
4.419 0.000 0.000
0.000 4.419 0.000
0.000 0.000 6.217
Mg Cu Sn
1 5 2
Direct
0.000 0.000 0.000
0.000 0.500 0.252
0.000 0.500 0.748
0.500 0.000 0.252
0.500 0.000 0.748
0.500 0.500 0.500
0.000 0.000 0.500
0.500 0.500 0.000
```

## Properties
Calculated density = 7.9 g cm⁻³
Final energy = -28.00 eV per cell


10.
Mg2CuSn after structural relaxation. Source: OQMD, functional PBE.

The structure in POSCAR format:
```
Mg2CuSn
1.0
0.000 3.395 3.395
3.395 0.000 3.395
3.395 3.395 0.000
Mg Cu Sn
2 1 1
Direct
0.000 0.000 0.000
0.250 0.250 0.250
0.750 0.750 0.750
0.500 0.500 0.500
```

## Properties
Calculated density = 4.9 g cm⁻³
Final energy = -10.65 eV per cell


11.
MgTaCuSn after structural relaxation. Source: OQMD, functional PBE.

The structure in POSCAR format:
```
MgTaCuSn
1.0
0.000 3.314 3.314
3.314 0.000 3.314
3.314 3.314 0.000
Mg Ta Cu Sn
1 1 1 1
Direct
0.000 0.000 0.000
0.750 0.750 0.750
0.500 0.500 0.500
0.250 0.250 0.250
```

## Properties
Calculated density = 8.8 g cm⁻³
Offset from the most stable computed form = 114.8 meV per atom


12.
MgTaCuSn after structural relaxation. Source: OQMD, functional PBE.

The structure in POSCAR format:
```
MgTaCuSn
1.0
0.000 3.319 3.319
3.319 0.000 3.319
3.319 3.319 0.000
Mg Ta Cu Sn
1 1 1 1
Direct
0.000 0.000 0.000
0.250 0.250 0.250
0.750 0.750 0.750
0.500 0.500 0.500
```

## Properties
Calculated density = 8.8 g cm⁻³
Offset from the most stable computed form = 0.0 meV per atom